Entry from Alexandria: Tl2FeF2 after structural relaxation (GGA+U).

Lattice parameters (Å, degrees): 6.2427 6.2427 4.9169 90.00 90.00 90.00
With the nearest neighbours (Å) after each atom.
Space group P4/mbm (No. 127)
Asymmetric unit:
Tl (0.1769, 0.3231, 0.0000) [4 per cell]  2 F 2.64
Fe (0.0000, 0.0000, 0.5000) [2 per cell]  4 F 2.23
F (0.2156, 0.7156, 0.5000) [4 per cell]  2 Fe 2.23

* energy above the lowest structure with this stoichiometry: 38 meV/atom
* total magnetic moment: 7.591 Bohr magnetons per cell
* crystal system: tetragonal